This record from the Alexandria database describes crystalline Ba3CdSn2O9 at its relaxed geometry. The functional is PBE.

Computed properties:
Calculated total energy = -5.804 eV/atom
DOS at the Fermi energy = 0.76 states/eV/atom
Crystal system = trigonal
E_form (uncorrected) = -1850 meV/atom
Mass density = 6.5 g/cm³

Unit cell a=6.0020 b=6.0020 c=7.4506 alpha=90.00 beta=90.00 gamma=120.00
Space group P-3m1 (No. 164)
Inequivalent atoms, fractional coordinates:
Ba  0.0000  0.0000  0.0000
Ba  0.3333  0.6667  0.6559
Cd  0.0000  0.0000  0.5000
Sn  0.3333  0.6667  0.1576
O  0.0000  0.5000  0.0000
O  0.1743  0.3486  0.3237